(1)
Density functional theory data (PBE) for BaTc2Ru after structural relaxation.

E above lowest polymorph ... 821 meV/atom
DFT formation energy ... 130.43 kJ per mole of atoms
Space-group type ... Cmmm, No. 65

Cell lengths 5.5711, 5.5711, 2.9417 Å; angles 90.00, 90.00, 123.77 degrees
Positions (direct):
Ba (0.0000, 0.0000, 0.0000)
Tc (0.0000, 0.5000, 0.5000)
Tc (0.5000, 0.0000, 0.5000)
Ru (0.5000, 0.5000, 0.0000)

---

(2)
Density functional theory data (PBE) for BaTc2Ru after structural relaxation.

E above lowest polymorph ... 887 meV/atom
DFT formation energy ... 136.74 kJ per mole of atoms
Space-group type ... P4/mmm, No. 123

Cell lengths 3.8494, 3.8494, 5.2238 Å; angles 90.00, 90.00, 90.00 degrees
Positions (direct):
Ba (0.0000, 0.0000, 0.0000)
Tc (0.0000, 0.5000, 0.5000)
Tc (0.5000, 0.0000, 0.5000)
Ru (0.5000, 0.5000, 0.0000)

---

(3)
Density functional theory data (PBE) for BaTcRu2 after structural relaxation.

E above lowest polymorph ... 0 meV/atom
DFT formation energy ... 41.08 kJ per mole of atoms
Space-group type ... R-3m, No. 166

Cell lengths 6.4611, 6.4611, 6.4611 Å; angles 39.25, 39.25, 39.25 degrees
Positions (direct):
Ba (0.0000, 0.0000, 0.0000)
Tc (0.5000, 0.5000, 0.5000)
Ru (0.1909, 0.1909, 0.1909)
Ru (0.8091, 0.8091, 0.8091)

---

(4)
Density functional theory data (PBE) for BaTc2Ru after structural relaxation.

E above lowest polymorph ... 471 meV/atom
DFT formation energy ... 96.68 kJ per mole of atoms
Space-group type ... I4_1/amd, No. 141

Cell lengths 9.2152, 9.2152, 9.2152 Å; angles 148.67, 148.67, 44.90 degrees
Positions (direct):
Ba (0.3750, 0.6250, 0.7500)
Ba (0.6250, 0.3750, 0.2500)
Tc (0.0000, 0.0000, 0.0000)
Tc (0.0000, 0.0000, 0.5000)
Tc (0.0000, 0.5000, 0.0000)
Tc (0.5000, 0.0000, 0.5000)
Ru (0.1250, 0.8750, 0.2500)
Ru (0.8750, 0.1250, 0.7500)

---

(5)
Density functional theory data (PBE) for BaTc2Ru after structural relaxation.

E above lowest polymorph ... 344 meV/atom
DFT formation energy ... 84.41 kJ per mole of atoms
Space-group type ... P2/m, No. 10

Cell lengths 3.5760, 4.6635, 6.1883 Å; angles 90.00, 103.55, 90.00 degrees
Positions (direct):
Ba (0.0000, 0.0000, 0.0000)
Tc (0.2921, 0.5000, 0.6193)
Tc (0.7079, 0.5000, 0.3807)
Ru (0.5000, 0.0000, 0.5000)

---

(6)
Density functional theory data (PBE) for BaTc2Ru after structural relaxation.

E above lowest polymorph ... 486 meV/atom
DFT formation energy ... 98.08 kJ per mole of atoms
Space-group type ... R-3m, No. 166

Cell lengths 10.3030, 10.3030, 10.3030 Å; angles 16.35, 16.35, 16.35 degrees
Positions (direct):
Ba (0.0000, 0.0000, 0.0000)
Tc (0.2343, 0.2343, 0.2343)
Tc (0.7657, 0.7657, 0.7657)
Ru (0.5000, 0.5000, 0.5000)

---

(7)
Density functional theory data (PBE) for BaTcRu2 after structural relaxation.

E above lowest polymorph ... 812 meV/atom
DFT formation energy ... 119.41 kJ per mole of atoms
Space-group type ... P4/mmm, No. 123

Cell lengths 4.9776, 4.9776, 3.0270 Å; angles 90.00, 90.00, 90.00 degrees
Positions (direct):
Ba (0.0000, 0.0000, 0.0000)
Tc (0.5000, 0.5000, 0.0000)
Ru (0.0000, 0.5000, 0.5000)
Ru (0.5000, 0.0000, 0.5000)

---

(8)
Density functional theory data (PBE) for BaTc2Ru after structural relaxation.

E above lowest polymorph ... 482 meV/atom
DFT formation energy ... 97.68 kJ per mole of atoms
Space-group type ... Imm2, No. 44

Cell lengths 5.7298, 5.7298, 5.7298 Å; angles 148.22, 122.28, 67.41 degrees
Positions (direct):
Ba (0.0000, 0.0000, 0.0000)
Tc (0.5079, 0.5079, 0.0000)
Tc (0.7013, 0.2013, 0.5000)
Ru (0.2952, 0.7952, 0.5000)

---

(9)
Density functional theory data (PBE) for BaTc2Ru after structural relaxation.

E above lowest polymorph ... 715 meV/atom
DFT formation energy ... 120.15 kJ per mole of atoms
Space-group type ... Fm-3m, No. 225

Cell lengths 4.6956, 4.6956, 4.6956 Å; angles 60.00, 60.00, 60.00 degrees
Positions (direct):
Ba (0.0000, 0.0000, 0.0000)
Tc (0.2500, 0.2500, 0.2500)
Tc (0.7500, 0.7500, 0.7500)
Ru (0.5000, 0.5000, 0.5000)

---

(10)
Density functional theory data (PBE) for BaTcRu2 after structural relaxation.

E above lowest polymorph ... 808 meV/atom
DFT formation energy ... 119.03 kJ per mole of atoms
Space-group type ... C2/m, No. 12

Cell lengths 5.0707, 5.0707, 2.9703 Å; angles 90.39, 90.39, 101.28 degrees
Positions (direct):
Ba (0.0000, 0.0000, 0.0000)
Tc (0.5000, 0.5000, 0.0000)
Ru (0.0000, 0.5000, 0.5000)
Ru (0.5000, 0.0000, 0.5000)

---

(11)
Density functional theory data (PBE) for BaTcRu2 after structural relaxation.

E above lowest polymorph ... 266 meV/atom
DFT formation energy ... 66.74 kJ per mole of atoms
Space-group type ... Pmm2, No. 25

Cell lengths 2.8999, 3.7014, 7.5563 Å; angles 90.00, 90.00, 90.00 degrees
Positions (direct):
Ba (0.0000, 0.0000, 0.0000)
Tc (0.5000, 0.5000, 0.6555)
Ru (0.0000, 0.0000, 0.4995)
Ru (0.5000, 0.5000, 0.3245)

---

(12)
Density functional theory data (PBE) for Ba3TcRu after structural relaxation.

E above lowest polymorph ... 0 meV/atom
DFT formation energy ... 95.79 kJ per mole of atoms
Space-group type ... Pm-3m, No. 221

Cell lengths 5.8346, 5.8346, 5.8346 Å; angles 90.00, 90.00, 90.00 degrees
Positions (direct):
Ba (0.0000, 0.0000, 0.5000)
Ba (0.0000, 0.5000, 0.0000)
Ba (0.5000, 0.0000, 0.0000)
Tc (0.5000, 0.5000, 0.5000)
Ru (0.0000, 0.0000, 0.0000)